# 1
Entry from Alexandria: AsRu2Pt after structural relaxation (PBE).

Cell: 3.9342 2.8401 5.5987 Å, 75.28 90.00 90.00°
Last column: nearest neighbours and their distance in Å.
Fractional coordinates of all 4 atoms:
Ru (0.0000, 0.9253, 0.0242)  1 As 2.39
Ru (0.5000, 0.3118, 0.2501)  1 Pt 2.66, 4 As 2.69-2.70, 6 Ru 2.72-2.84
As (0.0000, 0.7048, 0.4664)  1 Ru 2.39, 2 Pt 2.53
Pt (0.5000, 0.5581, 0.7593)  2 As 2.53, 5 Ru 2.66-2.82

Computed properties:
formation enthalpy at 0 K: 63 meV/atom
symmetry: Amm2 (38)
DFT total energy: -28.99 eV per cell
D(E_F): 4.57 states/eV per cell

***

# 2
Entry from Alexandria: As4RuPt after structural relaxation (PBE).

Cell: 6.0605 6.0338 6.0360 Å, 90.00 90.12 90.00°
Last column: nearest neighbours and their distance in Å.
Fractional coordinates of all 12 atoms:
As (0.8851, 0.6144, 0.1242)  1 Ru 2.47, 1 As 2.47, 2 Pt 2.54-2.55
As (0.6149, 0.1144, 0.8758)  1 Ru 2.47, 1 As 2.47, 2 Pt 2.54-2.55
As (0.3738, 0.3753, 0.3947)  2 Ru 2.47, 1 As 2.49, 1 Pt 2.61
As (0.1262, 0.8753, 0.6053)  2 Ru 2.47, 1 As 2.49, 1 Pt 2.61
As (0.1149, 0.3856, 0.8758)  1 Ru 2.47, 1 As 2.47, 2 Pt 2.54-2.55
As (0.3851, 0.8856, 0.1242)  1 Ru 2.47, 1 As 2.47, 2 Pt 2.54-2.55
As (0.6262, 0.6247, 0.6053)  2 Ru 2.47, 1 As 2.49, 1 Pt 2.61
As (0.8738, 0.1247, 0.3947)  2 Ru 2.47, 1 As 2.49, 1 Pt 2.61
Ru (0.5000, 0.0000, 0.5000)  6 As 2.47
Ru (0.0000, 0.5000, 0.5000)  6 As 2.47
Pt (0.0000, 0.0000, 0.0000)  6 As 2.54-2.61
Pt (0.5000, 0.5000, 0.0000)  6 As 2.54-2.61

Computed properties:
energy above the most stable polymorph in this dataset: 0.000 eV/atom
formation enthalpy at 0 K: -289 meV/atom
symmetry: P2_1/c (14)
DFT total energy: -71.29 eV per cell
D(E_F): 8.54 states/eV per cell

***

# 3
Entry from Alexandria: As2RuPt after structural relaxation (PBE).

Cell: 3.0322 3.0322 7.8131 Å, 90.00 90.00 90.00°
Last column: nearest neighbours and their distance in Å.
Fractional coordinates of all 4 atoms:
Ru (0.5000, 0.5000, 0.7545)  4 As 2.53
As (0.0000, 0.0000, 0.9272)  4 Ru 2.53
As (0.5000, 0.5000, 0.3179)  4 Pt 2.57
Pt (0.0000, 0.0000, 0.5004)  4 As 2.57

Computed properties:
energy above the most stable polymorph in this dataset: 0.069 eV/atom
formation enthalpy at 0 K: -81 meV/atom
symmetry: P4mm (99)
DFT total energy: -24.94 eV per cell
D(E_F): 1.59 states/eV per cell